# MnIr2Pb

Crystalline MnIr2Pb at its relaxed geometry (PBE-GGA, the Alexandria database).

Its density is 16.0 g cm⁻³. As for the crystal system: monoclinic. As for the formation energy: 0.29 eV/atom. The calculation puts the total energy at -7.361 eV per atom.

The space group is C2/m (No. 12) and the conventional cell measures 8.841, 3.036 and 5.097 Å, with angles of 90.00, 100.90 and 90.00 degrees. The distinct sites, in fractional coordinates, are Mn at (0.000, 0.000, 0.000), Ir at (0.241, 0.500, 0.215) and Pb at (0.000, 0.500, 0.500).